A geometry-optimized GaB3Pt structure. Source: Alexandria, functional PBE.

a = 4.174 Å, b = 4.174 Å, c = 4.174 Å
α = 90.00°, β = 90.00°, γ = 90.00°
Fractional coordinates of all 5 atoms:
B  0.000  0.000  0.500
Ga  0.500  0.500  0.500
Pt  0.000  0.000  0.000
B  0.500  0.000  0.000
B  0.000  0.500  0.000

- energy relative to the elements (eV per atom) = 1.11
- relative energy among the computed polymorphs (eV/atom) = 0.000